# 1
Cs2AcThSe4 | PBE | optimized geometry

Computed properties:
The calculated total energy comes out at -5.042 eV per atom. The energy relative to the elements, uncorrected comes out at -1645.0 meV/atom.

Cell: 7.7743 4.4643 8.8300 Å, 90.00 106.86 90.00°
Positions (direct):
Cs: 0.0000 0.0000 0.0000
Cs: 0.5000 0.5000 0.0000
Ac: 0.0000 0.5000 0.5000
Th: 0.5000 0.0000 0.5000
Se: 0.2492 0.0000 0.6977
Se: 0.2839 0.5000 0.3079
Se: 0.7161 0.5000 0.6921
Se: 0.7508 0.0000 0.3023

# 2
SrTlMo2 | PBE | optimized geometry

Computed properties:
The formation energy comes out at 0.384 eV per atom. The calculated total energy comes out at -6.044 eV per atom.

Cell: 3.3715 3.3715 8.1302 Å, 90.00 90.00 90.00°
Positions (direct):
Sr: 0.0000 0.0000 0.0000
Tl: 0.5000 0.5000 0.3164
Mo: 0.0000 0.0000 0.5648
Mo: 0.5000 0.5000 0.6996

# 3
Ba2ZrCuW | PBE | optimized geometry

Computed properties:
The formation energy comes out at 1.373 eV per atom. The calculated total energy comes out at -4.515 eV per atom.

Cell: 6.4174 6.4174 4.8440 Å, 90.00 90.00 90.00°
Positions (direct):
Ba: 0.0000 0.5000 0.0000
Ba: 0.5000 0.0000 0.0000
Zr: 0.0000 0.0000 0.0000
Cu: 0.5000 0.5000 0.5000
W: 0.0000 0.0000 0.5000

# 4
Pr3TlCd | PBE | optimized geometry

Computed properties:
The formation energy comes out at -0.264 eV per atom. The calculated total energy comes out at -3.788 eV per atom.

Cell: 10.7399 10.7399 5.4908 Å, 90.00 90.00 150.36°
Positions (direct):
Pr: 0.0601 0.9399 0.7500
Pr: 0.2498 0.7502 0.7500
Pr: 0.4401 0.5599 0.7500
Pr: 0.5599 0.4401 0.2500
Pr: 0.7502 0.2498 0.2500
Pr: 0.9399 0.0601 0.2500
Tl: 0.1537 0.8463 0.2500
Tl: 0.8463 0.1537 0.7500
Cd: 0.3475 0.6525 0.2500
Cd: 0.6525 0.3475 0.7500

# 5
Nd5Y3Ru2 | PBE | optimized geometry

Computed properties:
The formation energy comes out at 0.044 eV per atom. The calculated total energy comes out at -6.135 eV per atom.

Cell: 10.1089 10.1089 10.1089 Å, 103.23 90.06 140.35°
Positions (direct):
Nd: 0.0202 0.2500 0.7702
Nd: 0.0591 0.2159 0.2750
Nd: 0.2500 0.2500 0.0000
Nd: 0.4409 0.7159 0.1568
Nd: 0.4798 0.2500 0.2298
Nd: 0.5202 0.7500 0.7702
Nd: 0.5591 0.2841 0.8432
Nd: 0.7500 0.7500 0.0000
Nd: 0.9409 0.7841 0.7250
Nd: 0.9798 0.7500 0.2298
Y: 0.1873 0.7445 0.9318
Y: 0.2500 0.7500 0.5000
Y: 0.3127 0.2445 0.5571
Y: 0.6873 0.7555 0.4429
Y: 0.7500 0.2500 0.5000
Y: 0.8127 0.2555 0.0682
Ru: 0.1541 0.3905 0.5446
Ru: 0.3459 0.8905 0.2363
Ru: 0.6541 0.1095 0.7637
Ru: 0.8459 0.6095 0.4554

# 6
CaCr2Pt | PBE | optimized geometry

Computed properties:
The formation energy comes out at 0.120 eV per atom. The calculated total energy comes out at -6.703 eV per atom.

Cell: 4.8389 4.8389 4.8389 Å, 125.63 125.38 80.70°
Positions (direct):
Ca: 0.0000 0.0000 0.0000
Cr: 0.2506 0.7506 0.5000
Cr: 0.4999 0.4999 0.0000
Pt: 0.7495 0.2495 0.5000